K3In2FeO6 after structural relaxation, computed with PBE with a Hubbard U.

```
K3In2FeO6
1.0
-0.352 0.717 -5.641
4.799 -2.012 2.321
-3.599 -5.306 0.510
K In Fe O
3 2 1 6
Cartesian
2.140 -4.210 1.248
-1.293 -2.391 -4.058
0.423 -3.300 -1.405
3.082 -1.102 -0.333
1.364 -0.192 -2.987
0.000 0.000 0.000
-0.288 -4.917 -3.437
2.652 -1.931 -2.377
1.135 -1.683 0.626
1.344 -5.782 -0.914
-1.805 -4.670 -0.433
-0.497 -0.818 -1.897
```

Output
Raw total energy, eV/cell: -62.43



K2InFeO4 after structural relaxation, computed with PBE with a Hubbard U.

```
K2InFeO4
1.0
-1.015 1.048 -5.352
3.064 -4.311 -4.299
-8.506 -5.498 -2.338
K In Fe O
4 2 2 8
Cartesian
-5.508 -3.241 -2.465
-4.012 -1.209 -5.225
-6.480 -6.375 -7.206
-0.484 -1.861 -7.459
-3.482 -4.118 -7.333
0.000 0.000 0.000
-2.975 -4.642 -4.657
-0.507 0.524 -2.676
1.430 -3.641 -5.408
-7.419 -5.603 -4.114
-6.163 -7.616 -10.272
-0.761 -0.661 -4.185
-1.848 -4.788 -6.225
-4.569 -4.013 -5.557
-3.775 -5.263 -9.050
-2.720 -3.457 -3.147
```

Output
Raw total energy, eV/cell: -81.37



What is the raw total energy in the second record?
-81.37 eV/cell



What is the formula in the first record?
K3In2FeO6